No. 1
The following is a DFT calculation (PBE-GGA) of a relaxed CeCd5Hg8 crystal.

Cell: 7.739 7.739 7.739 Å, 109.53 109.36 109.53°
Positions (direct):
Ce (0.250, 0.500, 0.750)
Hg (0.939, 0.058, 0.692)
Hg (0.634, 0.942, 0.881)
Cd (0.500, 0.000, 0.500)
Hg (0.638, 0.399, 0.905)
Hg (0.506, 0.601, 0.238)
Hg (0.119, 0.753, 0.061)
Hg (0.308, 0.247, 0.366)
Hg (0.762, 0.268, 0.362)
Cd (0.746, 0.627, 0.666)
Cd (0.880, 0.920, 0.254)
Cd (0.334, 0.080, 0.960)
Hg (0.095, 0.732, 0.494)
Cd (0.040, 0.373, 0.120)

The value obtained for the density of states at the Fermi level is 11.9 states/eV/f.u. The total moment comes out at 0.080 μB per atom. The symmetry is I-4 (82). Its total energy is -13.56 eV/cell.

=====

No. 2
The following is a DFT calculation (PBE-GGA) of a relaxed CeCd6Hg4 crystal.

Cell: 4.265 8.603 8.603 Å, 120.00 90.00 90.00°
Positions (direct):
Hg (0.000, 0.333, 0.667)
Cd (0.000, 0.924, 0.462)
Cd (0.500, 0.600, 0.800)
Cd (0.000, 0.538, 0.462)
Cd (0.500, 0.200, 0.400)
Cd (0.000, 0.538, 0.076)
Hg (0.500, 0.362, 0.181)
Cd (0.500, 0.200, 0.800)
Ce (0.000, 0.000, 0.000)
Hg (0.500, 0.819, 0.638)
Hg (0.500, 0.819, 0.181)

The value obtained for the density of states at the Fermi level is 11.2 states/eV/f.u. The total moment comes out at 0.105 μB per atom. The symmetry is P-6m2 (187). Its total energy is -13.30 eV/cell.

=====

No. 3
The following is a DFT calculation (PBE-GGA) of a relaxed CeCdHg2 crystal.

Cell: 3.567 3.567 7.861 Å, 90.00 90.00 90.00°
Positions (direct):
Hg (0.000, 0.000, 0.235)
Ce (0.500, 0.500, 0.500)
Cd (0.500, 0.500, 0.000)
Hg (0.000, 0.000, 0.765)

The value obtained for the density of states at the Fermi level is 7.7 states/eV/f.u. The total moment comes out at 0.334 μB per atom. The symmetry is P4/mmm (123). Its total energy is -8.27 eV/cell. The offset from the most stable computed form comes out at 0.139 eV/atom.

=====

No. 4
The following is a DFT calculation (PBE-GGA) of a relaxed Ce3Cd3Hg2 crystal.

Cell: 3.952 8.068 8.068 Å, 120.00 90.00 90.00°
Positions (direct):
Ce (0.500, 0.000, 0.599)
Ce (0.500, 0.401, 0.401)
Hg (0.000, 0.333, 0.667)
Hg (0.000, 0.667, 0.333)
Ce (0.500, 0.599, 0.000)
Cd (0.000, 0.226, 0.000)
Cd (0.000, 0.000, 0.226)
Cd (0.000, 0.774, 0.774)

The value obtained for the density of states at the Fermi level is 22.4 states/eV/f.u. The total moment comes out at 0.444 μB per atom. The symmetry is P-62m (189). Its total energy is -22.70 eV/cell. The offset from the most stable computed form comes out at 0.028 eV/atom.

=====

No. 5
The following is a DFT calculation (PBE-GGA) of a relaxed Ce4Cd3Hg2 crystal.

Cell: 5.326 5.327 9.822 Å, 90.04 90.00 60.00°
Positions (direct):
Cd (0.000, 0.000, 0.000)
Hg (0.667, 0.667, 0.185)
Cd (0.333, 0.333, 0.500)
Hg (0.333, 0.333, 0.815)
Ce (0.333, 0.333, 0.140)
Ce (0.667, 0.667, 0.860)
Ce (0.000, 0.000, 0.644)
Cd (0.667, 0.667, 0.500)
Ce (0.000, 0.000, 0.356)

The value obtained for the density of states at the Fermi level is 24.7 states/eV/f.u. The total moment comes out at 0.476 μB per atom. The symmetry is C2/m (12). Its total energy is -28.97 eV/cell.

=====

No. 6
The following is a DFT calculation (PBE-GGA) of a relaxed CeCdHg4 crystal.

Cell: 4.952 7.748 8.362 Å, 90.00 107.22 90.00°
Positions (direct):
Hg (0.473, 0.950, 0.945)
Hg (0.349, 0.654, 0.697)
Hg (0.008, 0.709, 0.016)
Hg (0.992, 0.209, 0.984)
Ce (0.827, 0.937, 0.654)
Hg (0.194, 0.941, 0.388)
Cd (0.358, 0.243, 0.715)
Cd (0.642, 0.743, 0.285)
Hg (0.527, 0.450, 0.055)
Hg (0.806, 0.441, 0.612)
Hg (0.651, 0.154, 0.303)
Ce (0.173, 0.437, 0.346)

The value obtained for the density of states at the Fermi level is 9.7 states/eV/f.u. The total moment comes out at 0.173 μB per atom. The symmetry is Cmc2_1 (36). Its total energy is -18.12 eV/cell. The offset from the most stable computed form comes out at 0.000 eV/atom.

=====

Question: Which formula does entry 1 have?
Answer: CeCd5Hg8

=====

Question: Among the records above, which one has the highest total moment?
Answer: Ce4Cd3Hg2

=====

Please write out number 1 again, unchanged.
The following is a DFT calculation (PBE-GGA) of a relaxed CeCd5Hg8 crystal.

Cell: 7.739 7.739 7.739 Å, 109.53 109.36 109.53°
Positions (direct):
Ce (0.250, 0.500, 0.750)
Hg (0.939, 0.058, 0.692)
Hg (0.634, 0.942, 0.881)
Cd (0.500, 0.000, 0.500)
Hg (0.638, 0.399, 0.905)
Hg (0.506, 0.601, 0.238)
Hg (0.119, 0.753, 0.061)
Hg (0.308, 0.247, 0.366)
Hg (0.762, 0.268, 0.362)
Cd (0.746, 0.627, 0.666)
Cd (0.880, 0.920, 0.254)
Cd (0.334, 0.080, 0.960)
Hg (0.095, 0.732, 0.494)
Cd (0.040, 0.373, 0.120)

The value obtained for the density of states at the Fermi level is 11.9 states/eV/f.u. The total moment comes out at 0.080 μB per atom. The symmetry is I-4 (82). Its total energy is -13.56 eV/cell.

=====

Question: Look up the total moment of the fourth one.
Answer: 0.444 μB per atom